No. 1
The following is a PBE calculation of a geometry-optimized RbBa2InSe4 structure, from the Alexandria database.

Cell lengths 9.212, 9.212, 9.106 Å; angles 119.62, 119.62, 89.44 degrees
Atoms (fractional coordinates):
Rb (0.000, 0.500, 0.000)
Rb (0.000, 0.500, 0.500)
Ba (0.500, 0.000, 0.000)
Ba (0.500, 0.000, 0.500)
Ba (0.000, 0.000, 0.500)
Ba (0.500, 0.500, 0.000)
In (0.500, 0.500, 0.500)
In (0.000, 0.000, 0.000)
Se (0.212, 0.802, 0.007)
Se (0.698, 0.288, 0.493)
Se (0.302, 0.712, 0.507)
Se (0.788, 0.198, 0.993)
Se (0.747, 0.753, 0.996)
Se (0.747, 0.753, 0.504)
Se (0.253, 0.247, 0.496)
Se (0.253, 0.247, 0.004)

The formation energy without anion corrections comes out at -1.26 eV/atom. The crystal system is orthorhombic. Its space group is No. 74.

No. 2
The following is a PBE calculation of a geometry-optimized Rb2FeHgBr6 structure, from the Alexandria database.

Cell lengths 7.831, 7.831, 7.674 Å; angles 59.30, 59.37, 59.90 degrees
Atoms (fractional coordinates):
Rb (0.566, 0.566, 0.303)
Rb (0.067, 0.066, 0.800)
Fe (0.316, 0.316, 0.052)
Hg (0.816, 0.816, 0.552)
Br (0.545, 0.133, 0.292)
Br (0.133, 0.031, 0.292)
Br (0.030, 0.547, 0.290)
Br (0.500, 0.601, 0.811)
Br (0.602, 0.086, 0.813)
Br (0.087, 0.499, 0.811)

The formation energy without anion corrections comes out at -0.94 eV/atom. The crystal system is triclinic. Its space group is No. 2.

No. 3
The following is a PBE calculation of a geometry-optimized Li7Ga structure, from the Alexandria database.

Cell lengths 5.851, 5.851, 5.851 Å; angles 60.00, 60.00, 60.00 degrees
Atoms (fractional coordinates):
Li (0.500, 0.500, 0.000)
Li (0.500, 0.000, 0.500)
Li (0.000, 0.500, 0.500)
Li (0.500, 0.000, 0.000)
Li (0.000, 0.500, 0.000)
Li (0.000, 0.000, 0.500)
Li (0.500, 0.500, 0.500)
Ga (0.000, 0.000, 0.000)

The calculation puts the energy of formation from the pure elements at -0.74 eV per formula unit. The crystal system is cubic. Its space group is No. 225.

No. 4
The following is a PBE calculation of a geometry-optimized Ce4InSn2 structure, from the Alexandria database.

Cell lengths 6.031, 6.031, 7.384 Å; angles 114.11, 114.11, 90.00 degrees
Atoms (fractional coordinates):
Ce (0.750, 0.250, 0.500)
Ce (0.250, 0.750, 0.500)
Ce (0.500, 0.000, 0.000)
Ce (0.000, 0.500, 0.000)
In (0.000, 0.000, 0.000)
Sn (0.627, 0.627, 0.254)
Sn (0.373, 0.373, 0.746)

The calculation puts the energy of formation from the pure elements at -0.86 eV per formula unit. The crystal system is tetragonal. Its space group is No. 139.

No. 5
The following is a PBE calculation of a geometry-optimized NaLaSc2Se4 structure, from the Alexandria database.

Cell lengths 4.004, 6.953, 7.187 Å; angles 108.58, 90.00, 90.00 degrees
Atoms (fractional coordinates):
Na (0.000, 0.000, 0.000)
La (0.500, 0.500, 0.000)
Sc (0.500, 0.000, 0.500)
Sc (0.000, 0.500, 0.500)
Se (0.500, 0.256, 0.276)
Se (0.500, 0.744, 0.724)
Se (0.000, 0.235, 0.723)
Se (0.000, 0.765, 0.277)

The formation energy without anion corrections comes out at -1.69 eV/atom. The crystal system is monoclinic. Its space group is No. 10.

No. 6
The following is a PBE calculation of a geometry-optimized DySiPt structure, from the Alexandria database.

Cell lengths 4.294, 7.015, 7.464 Å; angles 90.00, 90.00, 90.00 degrees
Atoms (fractional coordinates):
Dy (0.750, 0.504, 0.800)
Dy (0.250, 0.996, 0.300)
Dy (0.750, 0.004, 0.700)
Dy (0.250, 0.496, 0.200)
Si (0.250, 0.814, 0.913)
Si (0.250, 0.314, 0.587)
Si (0.750, 0.186, 0.087)
Si (0.750, 0.686, 0.413)
Pt (0.250, 0.700, 0.586)
Pt (0.250, 0.200, 0.914)
Pt (0.750, 0.800, 0.086)
Pt (0.750, 0.300, 0.414)

The formation energy without anion corrections comes out at -1.20 eV/atom. The crystal system is orthorhombic. Its space group is No. 62.

No. 7
The following is a PBE calculation of a geometry-optimized LiNbTc2Cl structure, from the Alexandria database.

Cell lengths 4.276, 4.592, 4.276 Å; angles 90.00, 90.00, 90.00 degrees
Atoms (fractional coordinates):
Nb (0.000, 0.500, 0.000)
Li (0.000, 0.000, 0.000)
Tc (0.000, 0.000, 0.500)
Tc (0.500, 0.000, 0.000)
Cl (0.500, 0.500, 0.500)

The formation energy without anion corrections comes out at 1.61 eV/atom. The crystal system is tetragonal. Its space group is No. 123.

No. 8
The following is a PBE calculation of a geometry-optimized CeHoTeIr structure, from the Alexandria database.

Cell lengths 4.129, 4.129, 7.765 Å; angles 90.00, 105.42, 120.00 degrees
Atoms (fractional coordinates):
Ce (0.104, 0.950, 0.069)
Ho (0.498, 0.147, 0.660)
Te (0.973, 0.384, 0.372)
Ir (0.303, 0.550, 0.868)

The formation energy without anion corrections comes out at -1.04 eV/atom. The crystal system is trigonal. Its space group is No. 160.

No. 9
The following is a PBE calculation of a geometry-optimized Ca2MgZr structure, from the Alexandria database.

Cell lengths 3.928, 5.436, 5.464 Å; angles 90.00, 90.00, 90.00 degrees
Atoms (fractional coordinates):
Ca (0.000, 0.000, 0.000)
Ca (0.500, 0.500, 0.000)
Mg (0.500, 0.000, 0.500)
Zr (0.000, 0.500, 0.500)

The calculation puts the energy of formation from the pure elements at 1.24 eV per formula unit. The crystal system is orthorhombic. Its space group is No. 47.

No. 10
The following is a PBE calculation of a geometry-optimized K2MnIr structure, from the Alexandria database.

Cell lengths 6.381, 6.381, 3.055 Å; angles 77.41, 77.41, 127.33 degrees
Atoms (fractional coordinates):
Ir (0.000, 0.500, 0.500)
K (0.000, 0.000, 0.000)
K (0.500, 0.500, 0.000)
Mn (0.500, 0.000, 0.500)

The calculation puts the energy of formation from the pure elements at 3.93 eV per formula unit. The crystal system is monoclinic. Its space group is No. 12.

No. 11
The following is a PBE calculation of a geometry-optimized MnNbCr2Hg structure, from the Alexandria database.

Cell lengths 4.264, 4.634, 4.264 Å; angles 90.00, 90.00, 90.00 degrees
Atoms (fractional coordinates):
Cr (0.000, 0.000, 0.500)
Cr (0.500, 0.000, 0.000)
Nb (0.000, 0.500, 0.000)
Mn (0.000, 0.000, 0.000)
Hg (0.500, 0.500, 0.500)

The calculation puts the energy of formation from the pure elements at 4.71 eV per formula unit. The crystal system is tetragonal. Its space group is No. 123.

No. 12
The following is a PBE calculation of a geometry-optimized SrNdNi2Sb2 structure, from the Alexandria database.

Cell lengths 4.370, 4.370, 8.833 Å; angles 90.00, 90.00, 120.00 degrees
Atoms (fractional coordinates):
Sr (0.000, 0.000, 0.000)
Nd (0.000, 0.000, 0.500)
Ni (0.333, 0.667, 0.723)
Ni (0.667, 0.333, 0.277)
Sb (0.333, 0.667, 0.259)
Sb (0.667, 0.333, 0.741)

The formation energy without anion corrections comes out at -0.75 eV/atom. The crystal system is trigonal. Its space group is No. 164.

No. 13
The following is a PBE calculation of a geometry-optimized ThMg6 structure, from the Alexandria database.

Cell lengths 6.527, 6.527, 6.527 Å; angles 109.47, 109.47, 109.47 degrees
Atoms (fractional coordinates):
Th (0.000, 0.000, 0.000)
Mg (0.250, 0.750, 0.500)
Mg (0.500, 0.750, 0.250)
Mg (0.250, 0.500, 0.750)
Mg (0.750, 0.250, 0.500)
Mg (0.500, 0.250, 0.750)
Mg (0.750, 0.500, 0.250)

The calculation puts the energy of formation from the pure elements at 5.68 eV per formula unit. The crystal system is cubic. Its space group is No. 229.

No. 14
The following is a PBE calculation of a geometry-optimized LiBeP2 structure, from the Alexandria database.

Cell lengths 3.587, 4.084, 3.432 Å; angles 90.00, 90.00, 90.00 degrees
Atoms (fractional coordinates):
Be (0.500, 0.000, 0.500)
Li (0.000, 0.500, 0.500)
P (0.000, 0.000, 0.000)
P (0.500, 0.500, 0.000)

The calculation puts the energy of formation from the pure elements at 0.41 eV per formula unit. The crystal system is orthorhombic. Its space group is No. 47.

No. 15
The following is a PBE calculation of a geometry-optimized Ac2Tl3In structure, from the Alexandria database.

Cell lengths 5.314, 3.891, 9.338 Å; angles 90.00, 90.00, 90.00 degrees
Atoms (fractional coordinates):
Ac (0.500, 0.000, 0.999)
Ac (0.000, 0.000, 0.501)
Tl (0.000, 0.500, 0.165)
Tl (0.000, 0.500, 0.830)
Tl (0.500, 0.500, 0.337)
In (0.500, 0.500, 0.668)

The calculation puts the energy of formation from the pure elements at -1.87 eV per formula unit. The crystal system is orthorhombic. Its space group is No. 25.

No. 16
The following is a PBE calculation of a geometry-optimized Ce3NpN4 structure, from the Alexandria database.

Cell lengths 6.121, 6.134, 7.082 Å; angles 90.00, 90.00, 109.48 degrees
Atoms (fractional coordinates):
Np (0.750, 0.000, 0.876)
Np (0.250, 0.000, 0.124)
Ce (0.750, 0.000, 0.375)
Ce (0.250, 0.000, 0.625)
Ce (0.750, 0.500, 0.625)
Ce (0.750, 0.500, 0.125)
Ce (0.250, 0.500, 0.375)
Ce (0.250, 0.500, 0.875)
N (0.990, 0.241, 0.634)
N (0.501, 0.233, 0.884)
N (0.490, 0.241, 0.366)
N (0.001, 0.233, 0.116)
N (0.999, 0.767, 0.884)
N (0.510, 0.759, 0.634)
N (0.499, 0.767, 0.116)
N (0.010, 0.759, 0.366)

The formation energy without anion corrections comes out at -1.39 eV/atom. The crystal system is monoclinic. Its space group is No. 13.

No. 17
The following is a PBE calculation of a geometry-optimized AcTe2O8 structure, from the Alexandria database.

Cell lengths 5.497, 5.497, 7.088 Å; angles 112.81, 112.81, 90.00 degrees
Atoms (fractional coordinates):
Ac (0.500, 0.500, 0.000)
Te (0.750, 0.250, 0.500)
Te (0.250, 0.750, 0.500)
O (0.812, 0.325, 0.283)
O (0.042, 0.529, 0.717)
O (0.675, 0.188, 0.717)
O (0.188, 0.042, 0.717)
O (0.471, 0.958, 0.283)
O (0.958, 0.812, 0.283)
O (0.325, 0.471, 0.283)
O (0.529, 0.675, 0.717)

The formation energy without anion corrections comes out at -1.07 eV/atom. The crystal system is tetragonal. Its space group is No. 97.

No. 18
The following is a PBE calculation of a geometry-optimized Ru3Rh2 structure, from the Alexandria database.

Cell lengths 3.828, 6.065, 8.566 Å; angles 135.12, 90.00, 90.00 degrees
Atoms (fractional coordinates):
Ru (0.250, 0.292, 0.345)
Ru (0.750, 0.708, 0.655)
Ru (0.250, 0.104, 0.949)
Ru (0.750, 0.896, 0.051)
Ru (0.750, 0.300, 0.854)
Ru (0.250, 0.700, 0.146)
Rh (0.250, 0.896, 0.551)
Rh (0.750, 0.104, 0.449)
Rh (0.250, 0.506, 0.752)
Rh (0.750, 0.494, 0.248)

The calculation puts the energy of formation from the pure elements at 0.27 eV per formula unit. The crystal system is monoclinic. Its space group is No. 11.

No. 19
The following is a PBE calculation of a geometry-optimized Sc2Al2GaPd5 structure, from the Alexandria database.

Cell lengths 3.603, 9.620, 9.620 Å; angles 90.00, 90.00, 90.00 degrees
Atoms (fractional coordinates):
Sc (0.000, 0.675, 0.175)
Sc (0.000, 0.325, 0.825)
Sc (0.000, 0.175, 0.325)
Sc (0.000, 0.825, 0.675)
Al (0.000, 0.124, 0.624)
Al (0.000, 0.876, 0.376)
Al (0.000, 0.624, 0.876)
Al (0.000, 0.376, 0.124)
Ga (0.000, 0.000, 0.000)
Ga (0.000, 0.500, 0.500)
Pd (0.500, 0.203, 0.068)
Pd (0.500, 0.797, 0.932)
Pd (0.500, 0.068, 0.797)
Pd (0.500, 0.703, 0.432)
Pd (0.500, 0.932, 0.203)
Pd (0.500, 0.297, 0.568)
Pd (0.500, 0.568, 0.703)
Pd (0.500, 0.432, 0.297)
Pd (0.500, 0.500, 0.000)
Pd (0.500, 0.000, 0.500)

The calculation puts the energy of formation from the pure elements at -7.44 eV per formula unit. The crystal system is tetragonal. Its space group is No. 127.

No. 20
The following is a PBE calculation of a geometry-optimized NaSr2Au structure, from the Alexandria database.

Cell lengths 4.390, 4.390, 11.576 Å; angles 79.07, 79.07, 60.00 degrees
Atoms (fractional coordinates):
Sr (0.114, 0.114, 0.659)
Sr (0.886, 0.886, 0.341)
Au (0.500, 0.500, 0.500)
Na (0.000, 0.000, 0.000)

The calculation puts the energy of formation from the pure elements at -1.17 eV per formula unit. The crystal system is trigonal. Its space group is No. 166.

No. 21
The following is a PBE calculation of a geometry-optimized Y2TlPb2 structure, from the Alexandria database.

Cell lengths 5.380, 5.380, 7.224 Å; angles 68.14, 68.14, 90.00 degrees
Atoms (fractional coordinates):
Pb (0.379, 0.379, 0.241)
Pb (0.621, 0.621, 0.759)
Y (0.750, 0.250, 0.500)
Y (0.250, 0.750, 0.500)
Tl (0.000, 0.000, 0.000)

The calculation puts the energy of formation from the pure elements at -0.17 eV per formula unit. The crystal system is tetragonal. Its space group is No. 139.

No. 22
The following is a PBE calculation of a geometry-optimized Rb2HfHBr6 structure, from the Alexandria database.

Cell lengths 7.823, 7.823, 7.820 Å; angles 59.99, 59.99, 90.00 degrees
Atoms (fractional coordinates):
H (0.500, 0.500, 0.000)
Hf (0.000, 0.000, 0.000)
Br (0.237, 0.237, 0.525)
Br (0.763, 0.763, 0.475)
Br (0.237, 0.237, 0.000)
Br (0.763, 0.763, 0.000)
Br (0.763, 0.237, 0.000)
Br (0.237, 0.763, 0.000)
Rb (0.750, 0.250, 0.500)
Rb (0.250, 0.750, 0.500)

The crystal system is tetragonal. The total energy is -3.76 eV/atom. Its space group is No. 139.

No. 23
The following is a PBE calculation of a geometry-optimized Cs2BaSbI6 structure, from the Alexandria database.

Cell lengths 9.383, 9.383, 9.219 Å; angles 59.41, 59.41, 90.00 degrees
Atoms (fractional coordinates):
Cs (0.750, 0.250, 0.500)
Cs (0.250, 0.750, 0.500)
I (0.265, 0.265, 0.470)
I (0.735, 0.735, 0.530)
I (0.255, 0.255, 0.000)
I (0.745, 0.745, 0.000)
I (0.745, 0.255, 0.000)
I (0.255, 0.745, 0.000)
Ba (0.000, 0.000, 0.000)
Sb (0.500, 0.500, 0.000)

The formation energy without anion corrections comes out at -1.08 eV/atom. The crystal system is tetragonal. Its space group is No. 139.

No. 24
The following is a PBE calculation of a geometry-optimized Pa8Ge2Ru structure, from the Alexandria database.

Cell lengths 4.234, 7.278, 8.684 Å; angles 96.97, 104.11, 90.00 degrees
Atoms (fractional coordinates):
Pa (0.404, 0.517, 0.807)
Pa (0.661, 0.033, 0.321)
Pa (0.783, 0.656, 0.565)
Pa (0.013, 0.251, 0.027)
Pa (0.217, 0.344, 0.435)
Pa (0.339, 0.967, 0.679)
Pa (0.596, 0.483, 0.193)
Pa (0.987, 0.749, 0.973)
Ge (0.830, 0.249, 0.660)
Ge (0.170, 0.751, 0.340)
Ru (0.500, 0.000, 0.000)

The calculation puts the energy of formation from the pure elements at -2.00 eV per formula unit. The crystal system is monoclinic. Its space group is No. 12.

Total magnetization (computed, μB per formula unit): 0.0 4.1 0.0 5.8 0.0 0.0 1.8 0.3 0.5 4.0 0.0 0.0 0.0 0.0 0.0 4.1 1.0 0.0 0.0 0.0 0.0 1.0 1.0 0.0